1.
Material: LaBeCr2Pt
Method: DFT, SCAN
State: single point on PBEsol structure

Unit cell a=4.435 b=4.435 c=4.305 alpha=90.00 beta=90.00 gamma=90.00
Fractional coordinates of all 5 atoms:
La 0.000 0.000 0.000
Be 0.500 0.500 0.500
Cr 0.000 0.500 0.500
Cr 0.500 0.000 0.500
Pt 0.500 0.500 0.000

Values from the calculation:
The final energy comes out at -31.0085 eV/atom.

=====

2.
Material: BaCa2Os
Method: DFT, SCAN
State: single point on PBEsol structure

Unit cell a=6.391 b=10.349 c=3.370 alpha=90.00 beta=108.44 gamma=90.00
Fractional coordinates of all 8 atoms:
Ba 0.000 0.000 0.000
Ba 0.500 0.500 0.000
Ca 0.250 0.250 0.500
Ca 0.250 0.750 0.500
Ca 0.750 0.250 0.500
Ca 0.750 0.750 0.500
Os 0.000 0.500 0.000
Os 0.500 0.000 0.000

Values from the calculation:
The final energy comes out at -31.7686 eV/atom.

=====

3.
Material: LaMg2Pd
Method: DFT, SCAN
State: single point on PBEsol structure

Unit cell a=7.020 b=7.020 c=7.020 alpha=90.00 beta=90.00 gamma=90.00
Fractional coordinates of all 16 atoms:
La 0.000 0.000 0.000
La 0.000 0.500 0.500
La 0.500 0.000 0.500
La 0.500 0.500 0.000
Mg 0.250 0.250 0.250
Mg 0.250 0.250 0.750
Mg 0.250 0.750 0.250
Mg 0.250 0.750 0.750
Mg 0.750 0.250 0.250
Mg 0.750 0.250 0.750
Mg 0.750 0.750 0.250
Mg 0.750 0.750 0.750
Pd 0.000 0.000 0.500
Pd 0.000 0.500 0.000
Pd 0.500 0.000 0.000
Pd 0.500 0.500 0.500

Values from the calculation:
The final energy comes out at -21.7320 eV/atom.

=====

What is the final energy in the third record?
-21.7320 eV/atom